1.
# PmSmEuY | the Alexandria database | GGA-PBE | optimized geometry
# Uncorrected energy ... -102.41 eV per cell
# Energy of formation ... 0.152 eV/atom
# Volume ... 560.66 Å³/cell
# Crystal system ... cubic
# Magnetic moment ... 32.63 μB per cell
data_PmSmEuY
_cell_length_a 8.2458
_cell_length_b 8.2458
_cell_length_c 8.2458
_cell_angle_alpha 90.00
_cell_angle_beta 90.00
_cell_angle_gamma 90.00
_space_group_name_H-M_alt 'F -4 3 m'
_space_group_IT_number 216
_space_group_name_Hall 'F -4 2 3'
loop_
_atom_site_label
_atom_site_fract_x
_atom_site_fract_y
_atom_site_fract_z
_atom_site_occupancy
Pm1 0.0000 0.0000 0.0000 1
Sm1 0.2500 0.2500 0.2500 1
Eu1 0.0000 0.0000 0.5000 1
Y1 0.2500 0.2500 0.7500 1

=====

2.
# CaAgAu | the Alexandria database | GGA-PBE | optimized geometry
# Uncorrected energy ... -34.61 eV per cell
# Energy of formation ... -0.174 eV/atom
# Volume ... 327.67 Å³/cell
# Crystal system ... cubic
# Magnetic moment ... 0.00 μB per cell
# Offset from the most stable computed form ... 0.97 eV per formula unit
data_CaAgAu
_cell_length_a 6.8941
_cell_length_b 6.8941
_cell_length_c 6.8941
_cell_angle_alpha 90.00
_cell_angle_beta 90.00
_cell_angle_gamma 90.00
_space_group_name_H-M_alt 'F -4 3 m'
_space_group_IT_number 216
_space_group_name_Hall 'F -4 2 3'
loop_
_atom_site_label
_atom_site_fract_x
_atom_site_fract_y
_atom_site_fract_z
_atom_site_occupancy
Ca1 0.0000 0.0000 0.0000 1
Ag1 0.2500 0.2500 0.2500 1
Au1 0.2500 0.2500 0.7500 1

=====

3.
# Pr2CdGa | the Alexandria database | GGA-PBE | optimized geometry
# Uncorrected energy ... -15.24 eV per cell
# Energy of formation ... -0.434 eV/atom
# Volume ... 109.68 Å³/cell
# Crystal system ... tetragonal
# Magnetic moment ... 0.00 μB per cell
data_Pr2CdGa
_cell_length_a 3.6938
_cell_length_b 3.6938
_cell_length_c 8.0387
_cell_angle_alpha 90.00
_cell_angle_beta 90.00
_cell_angle_gamma 90.00
_space_group_name_H-M_alt 'P 4/m m m'
_space_group_IT_number 123
_space_group_name_Hall '-P 4 2'
loop_
_atom_site_label
_atom_site_fract_x
_atom_site_fract_y
_atom_site_fract_z
_atom_site_occupancy
Pr1 0.0000 0.0000 0.2330 1
Cd1 0.5000 0.5000 0.5000 1
Ga1 0.5000 0.5000 0.0000 1

=====

4.
# YScH3 | the Alexandria database | GGA-PBE | optimized geometry
# Uncorrected energy ... -24.60 eV per cell
# Volume ... 58.90 Å³/cell
# Crystal system ... cubic
# Magnetic moment ... 0.00 μB per cell
# Offset from the most stable computed form ... 0.00 eV per formula unit
data_YScH3
_cell_length_a 3.8909
_cell_length_b 3.8909
_cell_length_c 3.8909
_cell_angle_alpha 90.00
_cell_angle_beta 90.00
_cell_angle_gamma 90.00
_space_group_name_H-M_alt 'P m -3 m'
_space_group_IT_number 221
_space_group_name_Hall '-P 4 2 3'
loop_
_atom_site_label
_atom_site_fract_x
_atom_site_fract_y
_atom_site_fract_z
_atom_site_occupancy
Y1 0.0000 0.0000 0.0000 1
Sc1 0.5000 0.5000 0.5000 1
H1 0.0000 0.5000 0.5000 1

=====

5.
# CuNi3Sb | the Alexandria database | GGA-PBE | optimized geometry
# Uncorrected energy ... -21.87 eV per cell
# Volume ... 80.21 Å³/cell
# Crystal system ... cubic
# Magnetic moment ... 0.57 μB per cell
# Energy relative to the elements, uncorrected ... 0.738 eV/atom
# Offset from the most stable computed form ... 3.59 eV per formula unit
data_CuNi3Sb
_cell_length_a 4.3125
_cell_length_b 4.3125
_cell_length_c 4.3125
_cell_angle_alpha 90.00
_cell_angle_beta 90.00
_cell_angle_gamma 90.00
_space_group_name_H-M_alt 'P m -3 m'
_space_group_IT_number 221
_space_group_name_Hall '-P 4 2 3'
loop_
_atom_site_label
_atom_site_fract_x
_atom_site_fract_y
_atom_site_fract_z
_atom_site_occupancy
Cu1 0.0000 0.0000 0.0000 1
Ni1 0.0000 0.0000 0.5000 1
Sb1 0.5000 0.5000 0.5000 1

=====

6.
# ScVSn2 | the Alexandria database | GGA-PBE | optimized geometry
# Uncorrected energy ... -66.61 eV per cell
# Energy of formation ... 0.313 eV/atom
# Volume ... 292.34 Å³/cell
# Crystal system ... trigonal
# Magnetic moment ... 11.31 μB per cell
# Offset from the most stable computed form ... 1.79 eV per formula unit
data_ScVSn2
_cell_length_a 3.2764
_cell_length_b 3.2764
_cell_length_c 31.4446
_cell_angle_alpha 90.00
_cell_angle_beta 90.00
_cell_angle_gamma 120.00
_space_group_name_H-M_alt 'R -3 m'
_space_group_IT_number 166
_space_group_name_Hall '-R 3 2"'
loop_
_atom_site_label
_atom_site_fract_x
_atom_site_fract_y
_atom_site_fract_z
_atom_site_occupancy
Sc1 0.0000 0.0000 0.0000 1
V1 0.0000 0.0000 0.5000 1
Sn1 0.0000 0.0000 0.4116 1

=====

7.
# Ac5Ag2Rh2 | the Alexandria database | GGA-PBE | optimized geometry
# Uncorrected energy ... -179.15 eV per cell
# Energy of formation ... -0.427 eV/atom
# Volume ... 1126.09 Å³/cell
# Crystal system ... orthorhombic
# Magnetic moment ... 0.00 μB per cell
data_Ac5Ag2Rh2
_cell_length_a 16.4143
_cell_length_b 8.2770
_cell_length_c 8.2885
_cell_angle_alpha 90.00
_cell_angle_beta 90.00
_cell_angle_gamma 90.00
_space_group_name_H-M_alt 'C m c e'
_space_group_IT_number 64
_space_group_name_Hall '-C 2ac 2'
loop_
_atom_site_label
_atom_site_fract_x
_atom_site_fract_y
_atom_site_fract_z
_atom_site_occupancy
Ac1 0.0000 0.0000 0.0000 1
Ac2 0.1253 0.1682 0.3334 1
Ag1 0.2090 0.0000 0.0000 1
Rh1 0.0000 0.1366 0.6349 1

=====

8.
# PmPr4Ag4 | the Alexandria database | GGA-PBE | optimized geometry
# Uncorrected energy ... -70.98 eV per cell
# Energy of formation ... -0.024 eV/atom
# Volume ... 548.26 Å³/cell
# Crystal system ... tetragonal
# Magnetic moment ... 0.00 μB per cell
data_PmPr4Ag4
_cell_length_a 9.0660
_cell_length_b 9.0660
_cell_length_c 6.6705
_cell_angle_alpha 90.00
_cell_angle_beta 90.00
_cell_angle_gamma 90.00
_space_group_name_H-M_alt 'P 42/n'
_space_group_IT_number 86
loop_
_space_group_symop_operation_xyz
'x,y,z'
'-x,-y,-z'
'-y,x+1/2,z+1/2'
'y,-x+1/2,-z+1/2'
'-x+1/2,-y+1/2,z'
'x+1/2,y+1/2,-z'
'y+1/2,-x,z+1/2'
'-y+1/2,x,-z+1/2'
loop_
_atom_site_label
_atom_site_fract_x
_atom_site_fract_y
_atom_site_fract_z
_atom_site_occupancy
Pm1 0.2500 0.2500 0.2500 1
Pr1 0.0366 0.6581 0.1459 1
Ag1 0.0269 0.6375 0.6074 1

=====

> Which of these has the lowest uncorrected energy?

Ac5Ag2Rh2